Below is an optimized crystal structure of NdHoTh2As4, with properties calculated at the PBE level.

Summary:
Size of the total moment: 0.000 μB/atom
Energy relative to the elements: -141.0 kJ/mol of atoms
Crystal system: monoclinic
Total energy: -6.809 eV/atom
Volume: 26.6 Å³/atom

a = 7.286 Å, b = 4.232 Å, c = 7.330 Å
α = 90.00°, β = 109.65°, γ = 90.00°
Space group P2/m (No. 10)
Unique sites:
Nd: 0.000 0.000 0.000 (multiplicity 1)
Ho: 0.000 0.500 0.500 (multiplicity 1)
Th: 0.500 0.000 0.500 (multiplicity 1)
Th: 0.500 0.500 0.000 (multiplicity 1)
As: 0.245 0.000 0.744 (multiplicity 2)
As: 0.249 0.500 0.254 (multiplicity 2)